Record 1
! GGA-PBEsol La4Y3, optimized geometry; values from VASP
! DFT total energy ... -5.9509 eV per atom
&SYSTEM
  ibrav = 0, nat = 7, ntyp = 2
/
ATOMIC_SPECIES
La 138.91 La.upf
Y 88.91 Y.upf
CELL_PARAMETERS angstrom
-0.660 2.286 2.713
-1.727 -2.618 1.786
16.266 -4.558 5.399
ATOMIC_POSITIONS angstrom
La 4.288 -1.344 2.176
La 12.909 -4.046 6.551
La 0.969 -0.844 3.347
La 9.591 -3.546 7.722
Y 5.316 -2.206 5.553
Y 0.000 0.000 0.000
Y 8.563 -2.684 4.345

Record 2
! GGA-PBEsol LaY2Zn, optimized geometry; values from VASP
! Offset from the most stable computed form ... 29 meV per atom
! DFT total energy ... -5.2808 eV per atom
&SYSTEM
  ibrav = 0, nat = 4, ntyp = 3
/
ATOMIC_SPECIES
La 138.91 La.upf
Y 88.91 Y.upf
Zn 65.41 Zn.upf
CELL_PARAMETERS angstrom
3.588 0.000 0.000
0.000 3.588 0.000
0.000 0.000 8.622
ATOMIC_POSITIONS angstrom
La 1.794 1.794 6.115
Y 0.000 0.000 0.101
Y 1.794 1.794 2.545
Zn 0.000 0.000 4.172

Number 1: total moment 0.00 μB per formula unit. Number 2: total moment 0.00 μB per formula unit.